A plane-wave DFT calculation with PBE+U was carried out for a geometry-optimized Li3Zn2WO6 structure.

Output
V, Å³/cell: 119.9
SG: C2/m (12)
Crystal system: monoclinic
E_tot, eV/atom: -5.59

Cell lengths 5.329, 5.329, 5.216 Å; angles 99.20, 99.20, 121.08 degrees
Element x y z (fractional)
Li 0.000 0.000 0.000
Li 0.318 0.682 0.000
Li 0.682 0.318 0.000
Zn 0.171 0.829 0.500
Zn 0.829 0.171 0.500
W 0.500 0.500 0.500
O 0.106 0.424 0.261
O 0.265 0.265 0.726
O 0.424 0.106 0.261
O 0.576 0.894 0.739
O 0.735 0.735 0.274
O 0.894 0.576 0.739